# SCAN SnHgAs2Se, single point on PBEsol structure
data_SnHgAs2Se
_space_group_name_H-M_alt 'P 4/m m m'
_space_group_IT_number 123
_space_group_name_Hall '-P 4 2'
_cell_length_a 5.262
_cell_length_b 5.262
_cell_length_c 5.164
_cell_angle_alpha 90.00
_cell_angle_beta 90.00
_cell_angle_gamma 90.00
loop_
_atom_site_label
_atom_site_fract_x
_atom_site_fract_y
_atom_site_fract_z
Sn1 0.000 0.000 0.000
Hg1 0.500 0.500 0.500
As1 0.000 0.500 0.000
Se1 0.000 0.000 0.500
# E_tot = -32.13 eV/atom
# energy relative to the elements, uncorrected = 0.779 eV per atom
# theoretical density = 6.37 g/cm3